First-principles (meta-GGA SCAN) data for a PBEsol-optimized structure of BaIn2Bi2, as listed in Alexandria.

abc: 4.107 8.719 8.719
angles: 90.00 90.00 90.00
Fractional positions:
In 0.000 0.378 0.878
In 0.000 0.878 0.622
In 0.000 0.622 0.122
In 0.000 0.122 0.378
Bi 0.500 0.168 0.668
Bi 0.500 0.668 0.832
Bi 0.500 0.832 0.332
Bi 0.500 0.332 0.168
Ba 0.000 0.000 0.000
Ba 0.000 0.500 0.500

Output
SG: P4/mbm
Energy relative to the elements, meV/atom: -352
Calculated density, g cm⁻³: 8.3
VASP energy, eV/atom: -53.05